No. 1
{"formula": "CsOsPb2", "functional": "PBEsol", "state": "optimized geometry", "delta_e_f_mev_per_atom": 1104.8, "sg": "No. 225", "mass_density_g_cm3": 12.0, "lattice_angstrom": [[5.247, 0.000, 0.000], [2.623, 4.544, 0.000], [2.623, 1.515, 4.284]], "species": ["Pb", "Pb", "Os", "Cs"], "frac_coords": [[0.750, 0.750, 0.750], [0.250, 0.250, 0.250], [0.500, 0.500, 0.500], [0.000, 0.000, 0.000]]}



No. 2
{"formula": "CuTc2Sb", "functional": "PBEsol", "state": "optimized geometry", "sg": "No. 71", "mass_density_g_cm3": 10.5, "e_form_raw_mev_per_atom": 408, "lattice_angstrom": [[-2.144, -0.651, -2.243], [1.741, -4.017, -0.498], [-2.481, 0.798, 4.381]], "species": ["Tc", "Tc", "Sb", "Cu"], "frac_coords": [[0.744, 0.744, 0.489], [0.256, 0.256, 0.511], [0.000, 0.500, 0.000], [0.500, 0.000, 0.000]]}



No. 3
{"formula": "LiTl2As", "functional": "PBEsol", "state": "optimized geometry", "e_above_lowest_polymorph_mev_per_atom": 188, "delta_e_f_mev_per_atom": -10.8, "sg": "No. 166", "mass_density_g_cm3": 8.8, "lattice_angstrom": [[-1.698, -2.315, -2.057], [1.789, -1.871, -2.403], [1.387, -7.541, 4.309]], "species": ["Tl", "Tl", "As", "Li"], "frac_coords": [[0.250, 0.250, 0.251], [0.750, 0.750, 0.749], [0.500, 0.500, 0.500], [0.000, 0.000, 0.000]]}



No. 4
{"formula": "SbRuPtI2", "functional": "PBEsol", "state": "optimized geometry", "sg": "No. 123", "mass_density_g_cm3": 8.4, "e_form_raw_mev_per_atom": 1023, "lattice_angstrom": [[4.930, 0.000, 0.000], [0.000, 5.199, 0.000], [0.000, 0.000, 5.199]], "species": ["Pt", "Sb", "I", "I", "Ru"], "frac_coords": [[0.500, 0.500, 0.500], [0.500, 0.000, 0.000], [0.000, 0.000, 0.500], [0.000, 0.500, 0.000], [0.000, 0.000, 0.000]]}



No. 5
{"formula": "Ca2TeSe", "functional": "PBEsol", "state": "optimized geometry", "e_above_lowest_polymorph_mev_per_atom": 73, "sg": "No. 160", "mass_density_g_cm3": 4.2, "e_form_raw_mev_per_atom": -1759, "lattice_angstrom": [[-1.159, -3.330, 2.332], [2.252, -3.574, -0.152], [4.575, 0.116, 6.271]], "species": ["Te", "Ca", "Ca", "Se"], "frac_coords": [[0.248, 0.248, 0.255], [0.006, 0.006, 0.982], [0.827, 0.827, 0.519], [0.419, 0.419, 0.744]]}



No. 6
{"formula": "NbOsAuCl2", "functional": "PBEsol", "state": "optimized geometry", "sg": "No. 123", "mass_density_g_cm3": 8.5, "e_form_raw_mev_per_atom": 828, "lattice_angstrom": [[-4.440, -1.183, 0.431], [0.310, -2.558, -3.829], [1.332, -3.989, 2.773]], "species": ["Nb", "Os", "Cl", "Cl", "Au"], "frac_coords": [[0.000, 0.000, 0.000], [0.000, 0.000, 0.500], [0.000, 0.500, 0.000], [0.500, 0.000, 0.000], [0.500, 0.500, 0.500]]}